! ZnCr2Pd2, optimized geometry, DFT PBE; values from VASP
! Energy of formation (eV per atom): 0.200
&SYSTEM
  ibrav = 0, nat = 10, ntyp = 3
/
ATOMIC_SPECIES
Zn 65.41 Zn.upf
Cr 52.00 Cr.upf
Pd 106.42 Pd.upf
CELL_PARAMETERS angstrom
7.303 0.000 0.000
0.000 7.303 0.000
0.000 0.000 3.013
ATOMIC_POSITIONS crystal
Zn 0.000 0.000 0.000
Zn 0.500 0.500 0.000
Cr 0.158 0.342 0.500
Cr 0.342 0.842 0.500
Cr 0.658 0.158 0.500
Cr 0.842 0.658 0.500
Pd 0.140 0.640 0.000
Pd 0.360 0.140 0.000
Pd 0.640 0.860 0.000
Pd 0.860 0.360 0.000